Here is a geometry-optimized Sm4TlInHg2 structure from the Alexandria database. Energies are from PBE-GGA.

Output
Its density of states at the Fermi level is 8.197 states/eV/f.u. The formation energy comes out at -452 meV/atom. As for the total magnetization: 1.5 μB/cell.

a = 5.416 Å, b = 5.416 Å, c = 9.372 Å
α = 73.21°, β = 73.21°, γ = 60.00°
Each line ends with the local moment (μB).
Sites, in units of the cell vectors:
Sm1 0.375 0.375 0.875  0.20
Sm2 0.875 0.875 0.375  0.17
Sm3 0.125 0.125 0.625  0.17
Sm4 0.625 0.625 0.125  0.20
Tl1 0.000 0.000 0.000  0.00
In1 0.500 0.500 0.500  -0.01
Hg1 0.751 0.751 0.747  0.03
Hg2 0.249 0.249 0.253  0.03